1.
DFT (PBE) results for an optimized crystal structure of Sm2PaAsO8.

Cell and atoms, written as extended XYZ:
```
12
Lattice="-2.397 -4.302 1.099 4.310 -2.451 -0.946 1.807 0.659 6.519" Properties=species:S:1:pos:R:3 pbc="T T T"
Sm 2.339 -2.870 5.065
Sm 1.381 -3.223 1.607
Pa 0.903 0.330 3.260
As 0.000 0.000 0.000
O 3.537 -2.623 0.842
O 3.229 -4.343 6.629
O -0.831 -3.837 2.175
O 0.184 -3.470 5.830
O 0.491 -1.750 0.043
O 4.551 -2.256 4.497
O 2.254 -4.406 3.365
O 1.466 -1.687 3.307
```

Output
As for the total energy: -96.3 eV/cell. As for the energy relative to the elements, uncorrected: -3185 kJ/mol of formula units. Its density of states at the Fermi level is 0.0000 states/eV/atom. The space-group type is P2/m (10).


2.
DFT (PBE) results for an optimized crystal structure of PaSnAsO6.

Cell and atoms, written as extended XYZ:
```
18
Lattice="5.507 0.000 0.000 -2.753 4.769 0.000 0.000 0.000 10.265" Properties=species:S:1:pos:R:3 pbc="T T T"
Pa 0.000 3.179 2.566
Pa 2.753 1.590 7.699
Sn 0.000 0.000 0.000
Sn 0.000 0.000 5.133
As 2.753 1.590 2.566
As 0.000 3.179 7.699
O 1.910 2.898 1.504
O 4.308 1.666 1.504
O -0.711 4.564 6.637
O -1.555 3.103 8.762
O 1.199 1.666 3.629
O 3.597 2.898 3.629
O 0.711 4.564 8.762
O 3.465 0.205 3.629
O -0.844 1.871 6.637
O 2.042 0.205 1.504
O 1.555 3.103 6.637
O 0.844 1.871 8.762
```

Output
As for the total energy: -131.7 eV/cell. As for the energy relative to the elements, uncorrected: -1730 kJ/mol of formula units. Its density of states at the Fermi level is 0.0000 states/eV/atom. The space-group type is P-31c (163).


3.
DFT (PBE) results for an optimized crystal structure of Sr2PaAs2O2.

Cell and atoms, written as extended XYZ:
```
7
Lattice="-2.521 -3.550 -0.630 3.198 -1.846 -2.392 2.907 -0.864 8.601" Properties=species:S:1:pos:R:3 pbc="T T T"
Sr 2.285 -2.508 4.992
Sr 1.299 -3.753 0.588
Pa 0.000 0.000 0.000
As 1.087 -1.192 2.373
As 2.498 -5.068 3.206
O 1.599 -0.923 -1.196
O -1.260 -1.775 -0.315
```

Output
As for the total energy: -46.2 eV/cell. As for the energy relative to the elements, uncorrected: -1360 kJ/mol of formula units. Its density of states at the Fermi level is 1.0111 states/eV/atom. The space-group type is I4/mmm (139).


4.
DFT (PBE) results for an optimized crystal structure of SrPaAs2O8.

Cell and atoms, written as extended XYZ:
```
12
Lattice="6.136 0.054 0.000 -2.673 5.523 0.000 -1.731 -2.788 5.184" Properties=species:S:1:pos:R:3 pbc="T T T"
Sr 0.000 0.000 0.000
Pa -1.337 2.761 2.592
As 3.068 0.027 2.592
As 1.731 2.788 0.000
O 1.694 -0.489 1.697
O 0.269 2.382 1.028
O 0.285 -1.491 4.156
O 3.214 -1.434 3.487
O 3.193 3.194 1.028
O 4.442 0.543 1.697
O 2.921 1.487 3.487
O -0.285 1.491 4.156
```

Output
As for the total energy: -86.3 eV/cell. As for the energy relative to the elements, uncorrected: -2528 kJ/mol of formula units. Its density of states at the Fermi level is 0.1851 states/eV/atom. The space-group type is I-4m2 (119).


5.
DFT (PBE) results for an optimized crystal structure of SrPaAsO5.

Cell and atoms, written as extended XYZ:
```
16
Lattice="6.184 0.460 -0.296 -1.365 6.049 -0.296 -2.372 -3.203 7.731" Properties=species:S:1:pos:R:3 pbc="T T T"
Sr 0.426 3.483 1.637
Sr 2.022 -0.177 5.503
Pa -1.186 -1.602 3.866
Pa 0.000 0.000 0.000
As 3.278 1.372 1.637
As -0.830 1.934 5.503
O -1.682 5.044 1.637
O 4.129 -1.738 5.503
O 4.892 2.083 0.085
O -2.444 1.223 7.055
O 3.069 -0.379 3.189
O -0.621 3.685 3.951
O 2.893 2.920 2.439
O -0.445 0.386 4.701
O 1.685 1.289 0.835
O 0.762 2.017 6.305
```

Output
As for the total energy: -124.0 eV/cell. As for the energy relative to the elements, uncorrected: -2063 kJ/mol of formula units. Its density of states at the Fermi level is 0.0000 states/eV/atom. The space-group type is C2/c (15).


6.
DFT (PBE) results for an optimized crystal structure of TbPaAs2O8.

Cell and atoms, written as extended XYZ:
```
12
Lattice="6.069 0.192 0.000 -2.520 5.525 0.000 -1.775 -2.859 5.055" Properties=species:S:1:pos:R:3 pbc="T T T"
Tb -1.260 2.762 2.527
Pa 0.000 0.000 0.000
As 3.035 0.096 2.527
As 1.775 2.859 0.000
O 1.442 -0.563 1.522
O 0.398 2.356 0.904
O 0.160 -1.457 4.151
O 3.150 -1.624 3.533
O 3.151 3.361 0.904
O 4.628 0.756 1.522
O 2.919 1.816 3.533
O -0.160 1.457 4.151
```

Output
As for the total energy: -91.4 eV/cell. As for the energy relative to the elements, uncorrected: -2731 kJ/mol of formula units. Its density of states at the Fermi level is 0.0000 states/eV/atom. The space-group type is I-4m2 (119).


7.
DFT (PBE) results for an optimized crystal structure of Tb2PaAsO8.

Cell and atoms, written as extended XYZ:
```
12
Lattice="-3.578 0.029 -3.457 3.386 -1.555 -3.294 -1.492 -6.405 1.490" Properties=species:S:1:pos:R:3 pbc="T T T"
Tb -1.238 -5.664 -2.235
Tb -0.446 -2.267 -3.026
Pa -0.746 -3.203 0.745
As 0.000 0.000 0.000
O 1.828 -2.674 -2.997
O -0.141 -1.123 -4.967
O -2.671 -1.651 -3.104
O -3.511 -5.257 -2.265
O -1.543 -6.808 -0.295
O 0.988 -6.281 -2.157
O -0.876 -4.269 -3.968
O -0.807 -3.663 -1.293
```

Output
As for the total energy: -96.8 eV/cell. As for the energy relative to the elements, uncorrected: -3257 kJ/mol of formula units. Its density of states at the Fermi level is 0.0000 states/eV/atom. The space-group type is Cmmm (65).


8.
DFT (PBE) results for an optimized crystal structure of PaTcAsO.

Cell and atoms, written as extended XYZ:
```
8
Lattice="-3.920 0.978 0.230 -0.984 -3.924 -0.092 0.393 -0.284 7.891" Properties=species:S:1:pos:R:3 pbc="T T T"
Pa -1.700 0.301 5.335
Pa -0.359 -2.058 2.625
Tc -2.452 -1.473 0.069
Tc 0.000 0.000 0.000
As -0.170 -2.195 6.418
As -1.889 0.437 1.541
O 0.196 -0.142 3.945
O -2.256 -1.615 4.014
```

Output
As for the total energy: -72.2 eV/cell. As for the energy relative to the elements, uncorrected: -637 kJ/mol of formula units. Its density of states at the Fermi level is 1.4939 states/eV/atom. The space-group type is P4/nmm (129).


9.
DFT (PBE) results for an optimized crystal structure of PaTl2AsO8.

Cell and atoms, written as extended XYZ:
```
12
Lattice="5.597 0.000 0.000 -2.799 4.848 0.000 0.000 0.000 5.876" Properties=species:S:1:pos:R:3 pbc="T T T"
Pa 0.000 0.000 2.938
Tl 2.799 1.616 0.503
Tl 0.000 3.232 5.373
As 0.000 0.000 0.000
O 2.799 3.378 4.749
O 1.273 0.735 4.749
O 4.325 0.735 4.749
O 0.000 1.470 1.127
O 1.526 4.113 1.127
O -1.526 4.113 1.127
O 2.799 1.616 2.512
O 0.000 3.232 3.364
```

Output
As for the total energy: -72.6 eV/cell. As for the energy relative to the elements, uncorrected: -1359 kJ/mol of formula units. The space-group type is P-3m1 (164).


10.
DFT (PBE) results for an optimized crystal structure of PaTl3As2O8.

Cell and atoms, written as extended XYZ:
```
14
Lattice="-4.108 4.704 -0.060 -1.746 -5.645 2.022 2.148 1.970 7.354" Properties=species:S:1:pos:R:3 pbc="T T T"
Pa 1.074 0.985 3.677
Tl -0.895 -0.693 6.937
Tl -2.811 1.722 2.379
Tl 0.000 0.000 0.000
As -1.922 -1.635 3.420
As -1.784 2.664 5.896
O -2.388 -2.062 1.828
O -1.318 3.090 7.488
O -1.413 -3.310 4.136
O -2.293 4.338 5.180
O -0.517 -0.412 3.098
O -3.189 1.441 6.218
O -3.522 -0.895 4.105
O -0.184 1.924 5.211
```

Output
As for the total energy: -86.7 eV/cell. As for the energy relative to the elements, uncorrected: -2043 kJ/mol of formula units. Its density of states at the Fermi level is 0.4236 states/eV/atom. The space-group type is P-3m1 (164).


11.
DFT (PBE) results for an optimized crystal structure of PaTl2As2O6.

Cell and atoms, written as extended XYZ:
```
11
Lattice="-1.256 5.447 4.056 -3.008 -1.355 -4.992 -1.883 -4.024 4.822" Properties=species:S:1:pos:R:3 pbc="T T T"
Pa -1.569 0.712 4.439
Tl -2.339 2.717 1.507
Tl -3.808 -2.649 2.378
As -5.338 0.858 3.075
As -0.808 -0.790 0.811
O -3.807 0.583 3.919
O -1.149 0.502 2.344
O -4.463 -2.755 -0.188
O -4.998 -0.433 1.541
O -1.684 2.824 4.073
O -2.339 -0.514 -0.034
```

Output
As for the total energy: -71.4 eV/cell. As for the energy relative to the elements, uncorrected: -1748 kJ/mol of formula units. Its density of states at the Fermi level is 0.1569 states/eV/atom. The space-group type is C2/m (12).


12.
DFT (PBE) results for an optimized crystal structure of PaTl2AsO6.

Cell and atoms, written as extended XYZ:
```
20
Lattice="6.102 0.000 0.000 3.051 5.284 0.000 3.051 1.761 9.719" Properties=species:S:1:pos:R:3 pbc="T T T"
Pa 6.102 3.523 1.956
Pa 6.102 3.523 7.763
Tl 9.153 5.284 3.946
Tl 3.051 1.761 5.773
Tl 9.153 5.284 7.802
Tl 3.051 1.761 1.917
As 0.000 0.000 0.000
As 6.102 3.523 4.859
O 7.382 2.784 3.679
O 6.102 5.001 3.679
O 4.822 2.784 3.679
O 4.822 4.262 6.039
O 6.102 2.045 6.039
O 7.382 4.262 6.039
O 7.796 2.545 8.658
O 6.102 5.479 8.658
O 4.408 2.545 8.658
O 4.408 4.501 1.061
O 6.102 1.567 1.061
O 7.796 4.501 1.061
```

Output
As for the total energy: -133.0 eV/cell. As for the energy relative to the elements, uncorrected: -1726 kJ/mol of formula units. Its density of states at the Fermi level is 0.0000 states/eV/atom. The space-group type is R-3m (166).


13.
DFT (PBE) results for an optimized crystal structure of PaTl3As2O9.

Cell and atoms, written as extended XYZ:
```
15
Lattice="-3.355 -4.421 -1.569 5.618 -0.852 0.988 -1.404 -1.353 6.812" Properties=species:S:1:pos:R:3 pbc="T T T"
Pa -0.702 -0.677 3.406
Tl 1.649 -2.984 4.883
Tl 0.000 0.000 0.000
Tl -0.789 -3.642 1.349
As 2.393 -2.267 1.272
As -1.533 -4.359 4.959
O -2.699 -4.700 3.517
O -0.104 -5.093 3.973
O -1.149 -2.658 4.242
O 2.009 -3.968 1.989
O 0.964 -1.533 2.258
O 3.558 -1.926 2.714
O -1.677 -2.211 -0.785
O 2.809 -0.426 0.494
O 1.132 -2.636 -0.290
```

Output
As for the total energy: -91.6 eV/cell. As for the energy relative to the elements, uncorrected: -2031 kJ/mol of formula units. Its density of states at the Fermi level is 0.3950 states/eV/atom. The space-group type is P-3m1 (164).


14.
DFT (PBE) results for an optimized crystal structure of PaTl2As2O7.

Cell and atoms, written as extended XYZ:
```
12
Lattice="6.068 0.000 0.000 3.034 5.255 0.000 3.034 1.752 8.168" Properties=species:S:1:pos:R:3 pbc="T T T"
Pa 6.068 3.503 4.084
Tl 9.102 5.255 5.742
Tl 3.034 1.752 2.425
As 9.102 5.255 2.002
As 3.034 1.752 6.166
O 4.473 4.424 2.895
O 6.068 1.661 2.895
O 7.663 4.424 2.895
O 4.473 2.582 5.273
O 7.663 2.582 5.273
O 0.000 0.000 0.000
O 6.068 5.345 5.273
```

Output
As for the total energy: -77.4 eV/cell. As for the energy relative to the elements, uncorrected: -1848 kJ/mol of formula units. Its density of states at the Fermi level is 0.2435 states/eV/atom. The space-group type is R-3m (166).


15.
DFT (PBE) results for an optimized crystal structure of TmPaAs2O8.

Cell and atoms, written as extended XYZ:
```
12
Lattice="6.025 0.206 0.000 -2.488 5.492 0.000 -1.769 -2.849 5.010" Properties=species:S:1:pos:R:3 pbc="T T T"
Tm -1.244 2.746 2.505
Pa 0.000 0.000 0.000
As 3.013 0.103 2.505
As 1.769 2.849 0.000
O 1.426 -0.589 1.522
O 0.391 2.346 0.905
O 0.160 -1.458 4.105
O 3.096 -1.626 3.488
O 3.147 3.351 0.905
O 4.599 0.795 1.522
O 2.930 1.832 3.488
O -0.160 1.458 4.105
```

Output
As for the total energy: -91.3 eV/cell. As for the energy relative to the elements, uncorrected: -2735 kJ/mol of formula units. Its density of states at the Fermi level is 0.0000 states/eV/atom. The space-group type is I-4m2 (119).